MgCr2Cl | PBE | optimized geometry

Computed properties:
DFT total energy = -20.08 eV per cell
Distance to the lowest polymorph of the same formula = 2.66 eV/f.u.
Formation energy (no corrections) = 63 kJ per mole of atoms
Total magnetization = 9.6 μB/f.u.
D(E_F) = 1.60 states/eV/f.u.

Cell lengths 4.4137, 4.4137, 4.2125 Å; angles 90.00, 90.00, 90.00 degrees
Element x y z (fractional)
1 Mg 0.0000 0.0000 0.0000
2 Cr 0.0000 0.5000 0.5000
3 Cr 0.5000 0.0000 0.5000
4 Cl 0.5000 0.5000 0.0000